Entry from Alexandria via LeMat-Bulk: crystalline CuSI at its relaxed geometry (PBE).

a b c (Å): 4.9529 4.9529 9.9630
angles (deg): 98.96 98.96 44.00
Fractional positions:
Cu1 0.2247 0.2247 0.1563
Cu2 0.7753 0.7753 0.8437
S1 0.3891 0.3891 0.9653
S2 0.6109 0.6109 0.0347
I1 0.1428 0.1428 0.6805
I2 0.8572 0.8572 0.3195

Results
Density of states at the Fermi level   2.13 states/eV/cell
E   -3.340 eV/atom
Formation energy without anion corrections   -0.082 eV per atom
Crystal system   monoclinic